Record 1
# Na2LaDyF8

A relaxed structure of Na2LaDyF8 (GGA-PBE, Alexandria via LeMat-Bulk).

Properties
uncorrected formation energy = -358 kJ per mole of atoms
Fermi-level density of states = 0.000 states/eV/cell

Lattice parameters (Å, degrees): 5.5934 5.5934 6.8231 114.20 114.20 90.00
Fractional positions:
Na: 0.7500 0.2500 0.5000
F: 0.6049 0.1114 0.7419
La: 0.5000 0.5000 0.0000
F: 0.8886 0.3951 0.2581
F: 0.3695 0.3951 0.2581
F: 0.1370 0.1114 0.7419
F: 0.1370 0.6305 0.7419
F: 0.8886 0.8630 0.2581
F: 0.6049 0.6305 0.7419
F: 0.3695 0.8630 0.2581
Dy: 0.2500 0.7500 0.5000
Na: 0.0000 0.0000 0.0000

***

Record 2
# ReAg2Cl

A relaxed structure of ReAg2Cl (GGA-PBE, Alexandria via LeMat-Bulk).

Properties
uncorrected formation energy = 38 kJ per mole of atoms
offset from the most stable computed form = 0 meV per atom
Fermi-level density of states = 2.500 states/eV/cell

Lattice parameters (Å, degrees): 9.7094 9.7094 9.7094 17.39 17.39 17.39
Fractional positions:
Ag: 0.2576 0.2576 0.2576
Ag: 0.0065 0.0065 0.0065
Cl: 0.4829 0.4829 0.4829
Re: 0.7529 0.7529 0.7529

***

Record 3
# BePtCl2

A relaxed structure of BePtCl2 (GGA-PBE, Alexandria via LeMat-Bulk).

Properties
uncorrected formation energy = -29 kJ per mole of atoms
offset from the most stable computed form = 134 meV per atom
Fermi-level density of states = 0.872 states/eV/cell

Lattice parameters (Å, degrees): 3.5563 3.5563 8.9813 90.00 90.00 131.14
Fractional positions:
Cl: 0.0000 0.0000 0.8979
Cl: 0.5000 0.5000 0.3242
Be: 0.5000 0.5000 0.7443
Pt: 0.0000 0.0000 0.5336

***

Record 4
# KBe2Si2

A relaxed structure of KBe2Si2 (GGA-PBE, Alexandria via LeMat-Bulk).

Properties
uncorrected formation energy = 19 kJ per mole of atoms
Fermi-level density of states = 1.342 states/eV/cell

Lattice parameters (Å, degrees): 4.0547 4.0547 5.7623 69.40 69.40 90.00
Fractional positions:
Be: 0.2500 0.7500 0.5000
Si: 0.6252 0.6252 0.7497
Si: 0.3748 0.3748 0.2503
Be: 0.7500 0.2500 0.5000
K: 0.0000 0.0000 0.0000